[1]
Entry from Alexandria: a relaxed RbHg2GeMo crystal (GGA-PBE).

Geometry as extended XYZ:
```
5
Lattice="5.495 0.000 0.000 0.000 5.495 0.000 0.000 0.000 4.928" Properties=species:S:1:pos:R:3 pbc="T T T"
Rb 0.000 0.000 0.000
Hg 0.000 2.748 2.464
Hg 2.748 0.000 2.464
Ge 2.748 2.748 0.000
Mo 2.748 2.748 2.464
```

formation energy from the elements: 1.10 eV per formula unit
uncorrected energy: -3.1844 eV per atom

=====

[2]
Entry from Alexandria: a relaxed HgGeMo2Rh crystal (GGA-PBE).

Geometry as extended XYZ:
```
5
Lattice="4.764 0.000 0.000 0.000 4.764 0.000 0.000 0.000 5.089" Properties=species:S:1:pos:R:3 pbc="T T T"
Hg 0.000 0.000 0.000
Ge 2.382 2.382 0.000
Mo 0.000 2.382 2.544
Mo 2.382 0.000 2.544
Rh 0.000 0.000 2.544
```

formation energy from the elements: 7.06 eV per formula unit
uncorrected energy: -5.3744 eV per atom

=====

[3]
Entry from Alexandria: a relaxed Sc2HgGeMo crystal (GGA-PBE).

Geometry as extended XYZ:
```
5
Lattice="4.925 0.000 0.000 0.000 4.925 0.000 0.000 0.000 5.315" Properties=species:S:1:pos:R:3 pbc="T T T"
Sc 0.000 2.462 0.000
Sc 2.462 0.000 0.000
Hg 0.000 0.000 2.658
Ge 2.462 2.462 2.658
Mo 0.000 0.000 0.000
```

formation energy from the elements: 3.35 eV per formula unit
uncorrected energy: -5.0122 eV per atom